1.
First-principles (meta-GGA SCAN) data for a PBEsol-optimized structure of Tl2InIr, as listed in Alexandria. Values from VASP.

Quantum ESPRESSO input file:
```
&SYSTEM
  ibrav = 0, nat = 4, ntyp = 3
/
ATOMIC_SPECIES
In 114.82 In.upf
Ir 192.22 Ir.upf
Tl 204.38 Tl.upf
CELL_PARAMETERS angstrom
3.035 0.000 0.000
0.000 4.509 0.000
-1.518 -2.254 6.961
ATOMIC_POSITIONS angstrom
In 1.518 0.000 0.000
Ir 0.000 2.254 0.000
Tl 1.518 2.254 2.507
Tl 0.000 0.000 4.454
```

Calculated values
E above lowest polymorph: 0.0000 eV per atom
total moment: 0.00 μB per cell
DOS(E_F): 1.29 states/eV/cell
formation energy: 0.08 eV/atom

2.
First-principles (meta-GGA SCAN) data for a PBEsol-optimized structure of ReAsOs, as listed in Alexandria. Values from VASP.

Quantum ESPRESSO input file:
```
&SYSTEM
  ibrav = 0, nat = 3, ntyp = 3
/
ATOMIC_SPECIES
Re 186.21 Re.upf
As 74.92 As.upf
Os 190.23 Os.upf
CELL_PARAMETERS angstrom
2.864 0.000 0.000
0.000 3.970 0.000
-1.432 -1.985 3.852
ATOMIC_POSITIONS angstrom
Re 0.000 0.000 2.498
As 1.432 1.985 3.852
Os 1.432 1.985 1.354
```

Calculated values
total moment: 0.00 μB per cell
DOS(E_F): 1.92 states/eV/cell
formation energy: 0.44 eV/atom

3.
First-principles (meta-GGA SCAN) data for a PBEsol-optimized structure of MnFeCl3, as listed in Alexandria. Values from VASP.

Quantum ESPRESSO input file:
```
&SYSTEM
  ibrav = 0, nat = 5, ntyp = 3
/
ATOMIC_SPECIES
Mn 54.94 Mn.upf
Fe 55.84 Fe.upf
Cl 35.45 Cl.upf
CELL_PARAMETERS angstrom
-3.445 -0.248 3.366
3.370 -0.496 3.413
0.170 4.790 0.527
ATOMIC_POSITIONS angstrom
Mn 0.000 0.000 0.000
Fe 0.048 2.023 3.653
Cl 1.685 -0.248 1.706
Cl 0.085 2.395 0.264
Cl -1.722 -0.124 1.683
```

Calculated values
formation energy without anion corrections: -2.7 eV/f.u.
total moment: 8.51 μB per cell
DOS(E_F): 6.69 states/eV/cell

4.
First-principles (meta-GGA SCAN) data for a PBEsol-optimized structure of LiMgTa2, as listed in Alexandria. Values from VASP.

Quantum ESPRESSO input file:
```
&SYSTEM
  ibrav = 0, nat = 4, ntyp = 3
/
ATOMIC_SPECIES
Li 6.94 Li.upf
Mg 24.30 Mg.upf
Ta 180.95 Ta.upf
CELL_PARAMETERS angstrom
-0.641 2.165 1.482
1.780 -2.198 3.981
4.801 2.098 -0.988
ATOMIC_POSITIONS angstrom
Li 0.570 -0.016 2.731
Mg 2.970 1.032 2.237
Ta 3.602 1.574 -0.742
Ta 1.199 0.524 -0.247
```

Calculated values
total moment: 0.00 μB per cell
DOS(E_F): 2.85 states/eV/cell
formation energy: 0.47 eV/atom

5.
First-principles (meta-GGA SCAN) data for a PBEsol-optimized structure of ScAgIN2, as listed in Alexandria. Values from VASP.

Quantum ESPRESSO input file:
```
&SYSTEM
  ibrav = 0, nat = 5, ntyp = 4
/
ATOMIC_SPECIES
I 126.90 I.upf
Sc 44.96 Sc.upf
Ag 107.87 Ag.upf
N 14.01 N.upf
CELL_PARAMETERS angstrom
-0.402 3.633 1.815
0.566 -1.756 3.640
6.025 0.915 -0.495
ATOMIC_POSITIONS angstrom
I 3.013 0.457 -0.248
Sc 0.000 0.000 0.000
Ag 3.094 1.395 2.480
N 0.283 -0.878 1.820
N -0.201 1.816 0.908
```

Calculated values
formation energy without anion corrections: 2.6 eV/f.u.
total moment: 3.01 μB per cell
DOS(E_F): 2.25 states/eV/cell

6.
First-principles (meta-GGA SCAN) data for a PBEsol-optimized structure of TlInBr2, as listed in Alexandria. Values from VASP.

Quantum ESPRESSO input file:
```
&SYSTEM
  ibrav = 0, nat = 4, ntyp = 3
/
ATOMIC_SPECIES
Tl 204.38 Tl.upf
Br 79.90 Br.upf
In 114.82 In.upf
CELL_PARAMETERS angstrom
3.883 0.000 0.000
0.000 3.884 0.046
0.000 -0.097 7.777
ATOMIC_POSITIONS angstrom
Tl 1.941 1.942 0.023
Br 0.000 -0.072 5.822
Br 0.000 3.860 2.001
In 1.941 1.894 3.911
```

Calculated values
formation energy without anion corrections: -3.1 eV/f.u.
E above lowest polymorph: 0.0343 eV per atom
total moment: 0.00 μB per cell
DOS(E_F): 0.00 states/eV/cell

7.
First-principles (meta-GGA SCAN) data for a PBEsol-optimized structure of MoAu2I, as listed in Alexandria. Values from VASP.

Quantum ESPRESSO input file:
```
&SYSTEM
  ibrav = 0, nat = 4, ntyp = 3
/
ATOMIC_SPECIES
I 126.90 I.upf
Mo 95.94 Mo.upf
Au 196.97 Au.upf
CELL_PARAMETERS angstrom
-1.146 1.717 -4.378
-4.604 -0.054 -1.492
-2.462 4.147 -0.404
ATOMIC_POSITIONS angstrom
I -4.106 2.905 -3.137
Mo 0.000 0.000 0.000
Au -2.053 1.453 -1.568
Au -6.159 4.358 -4.705
```

Calculated values
formation energy without anion corrections: 3.8 eV/f.u.
total moment: 3.31 μB per cell
DOS(E_F): 3.21 states/eV/cell

8.
First-principles (meta-GGA SCAN) data for a PBEsol-optimized structure of La2Cu, as listed in Alexandria. Values from VASP.

Quantum ESPRESSO input file:
```
&SYSTEM
  ibrav = 0, nat = 6, ntyp = 2
/
ATOMIC_SPECIES
Cu 63.55 Cu.upf
La 138.91 La.upf
CELL_PARAMETERS angstrom
-1.188 1.612 -2.992
-4.935 0.259 2.099
2.366 6.548 4.754
ATOMIC_POSITIONS angstrom
Cu -2.194 6.450 4.346
Cu -1.563 1.968 -0.485
La -3.440 1.276 2.054
La -0.317 7.142 1.807
La -3.301 5.125 1.906
La -0.456 3.293 1.955
```

Calculated values
total moment: 0.00 μB per cell
DOS(E_F): 6.68 states/eV/cell
formation energy: -0.06 eV/atom

9.
First-principles (meta-GGA SCAN) data for a PBEsol-optimized structure of CsTcBi3, as listed in Alexandria. Values from VASP.

Quantum ESPRESSO input file:
```
&SYSTEM
  ibrav = 0, nat = 5, ntyp = 3
/
ATOMIC_SPECIES
Cs 132.91 Cs.upf
Bi 208.98 Bi.upf
Tc 98.00 Tc.upf
CELL_PARAMETERS angstrom
6.065 0.000 0.000
0.000 6.065 0.000
0.000 0.000 6.065
ATOMIC_POSITIONS angstrom
Cs 0.000 0.000 0.000
Bi 0.000 3.032 0.000
Bi 0.000 0.000 3.032
Bi 3.032 0.000 0.000
Tc 3.032 3.032 3.032
```

Calculated values
total moment: 4.87 μB per cell
DOS(E_F): 5.41 states/eV/cell
formation energy: 2.26 eV/atom

10.
First-principles (meta-GGA SCAN) data for a PBEsol-optimized structure of Mn2CoOs, as listed in Alexandria. Values from VASP.

Quantum ESPRESSO input file:
```
&SYSTEM
  ibrav = 0, nat = 4, ntyp = 3
/
ATOMIC_SPECIES
Co 58.93 Co.upf
Mn 54.94 Mn.upf
Os 190.23 Os.upf
CELL_PARAMETERS angstrom
3.575 0.000 0.000
0.000 3.575 0.000
-1.787 -1.787 3.523
ATOMIC_POSITIONS angstrom
Co 1.787 1.787 0.000
Mn 1.787 0.000 1.761
Mn 0.000 1.787 1.761
Os 0.000 0.000 0.000
```

Calculated values
total moment: 1.87 μB per cell
DOS(E_F): 3.79 states/eV/cell
formation energy: 0.04 eV/atom

11.
First-principles (meta-GGA SCAN) data for a PBEsol-optimized structure of BaFe2P4O14, as listed in Alexandria. Values from VASP.

Quantum ESPRESSO input file:
```
&SYSTEM
  ibrav = 0, nat = 21, ntyp = 4
/
ATOMIC_SPECIES
Ba 137.33 Ba.upf
Fe 55.84 Fe.upf
P 30.97 P.upf
O 16.00 O.upf
CELL_PARAMETERS angstrom
-3.618 3.984 2.713
-2.004 -5.396 1.931
6.317 0.199 4.408
ATOMIC_POSITIONS angstrom
Ba 0.000 0.000 0.000
Fe -1.316 -2.190 3.348
Fe 2.011 0.977 5.704
P 0.819 -1.885 5.756
P -0.124 0.672 3.296
P -2.819 0.402 4.129
P 3.514 -1.615 4.923
O -0.480 -1.901 4.995
O 1.175 0.688 4.057
O 0.913 -2.891 6.902
O -0.218 1.678 2.150
O 1.115 -0.522 6.441
O -0.420 -0.692 2.611
O 2.016 -2.163 4.708
O -1.321 0.950 4.345
O 0.046 -3.363 2.725
O 0.649 2.150 6.327
O 4.068 -2.409 6.114
O -3.373 1.196 2.938
O -2.786 -1.116 3.903
O 3.481 -0.097 5.149
```

Calculated values
formation energy without anion corrections: -50.0 eV/f.u.
total moment: 2.00 μB per cell

12.
First-principles (meta-GGA SCAN) data for a PBEsol-optimized structure of Cr3BPt, as listed in Alexandria. Values from VASP.

Quantum ESPRESSO input file:
```
&SYSTEM
  ibrav = 0, nat = 5, ntyp = 3
/
ATOMIC_SPECIES
Cr 52.00 Cr.upf
B 10.81 B.upf
Pt 195.08 Pt.upf
CELL_PARAMETERS angstrom
-1.678 -3.976 -1.896
4.362 -1.218 -1.307
0.613 -2.220 4.113
ATOMIC_POSITIONS angstrom
Cr 2.181 -0.609 -0.654
Cr 0.306 -1.110 2.057
Cr -0.839 -1.988 -0.948
B 1.649 -3.707 0.455
Pt 0.000 0.000 0.000
```

Calculated values
total moment: 11.38 μB per cell
DOS(E_F): 7.99 states/eV/cell
formation energy: 1.65 eV/atom

Short version: density = 12.478 17.118 3.215 9.285 5.019 6.781 12.775 7.122 6.386 13.247 3.773 5.737 g/cm3, in the order given.